The following is a DFT calculation (PBE-GGA) of a relaxed Cs2YI6Br crystal.

Calculated values
total energy = -3.015 eV/atom
size of the total moment = 0.000 Bohr magnetons per cell

The structure in CIF format:
```
data_Cs2YI6Br
_symmetry_space_group_name_H-M 'I 4/m m m'
_symmetry_Int_Tables_number 139
_symmetry_space_group_name_Hall '-I 4 2'
_cell_length_a 9.565
_cell_length_b 9.565
_cell_length_c 11.707
_cell_angle_alpha 90.00
_cell_angle_beta 90.00
_cell_angle_gamma 90.00
loop_
_atom_site_label
_atom_site_type_symbol
_atom_site_fract_x
_atom_site_fract_y
_atom_site_fract_z
Cs1 Cs 0.000 0.500 0.250
Y1 Y 0.000 0.000 0.000
I1 I 0.000 0.000 0.268
I2 I 0.221 0.221 0.000
Br1 Br 0.000 0.000 0.500
```